# TbSmGeF2 (PBE, relaxed)
# Raw total energy   -6.010 eV/atom
data_TbSmGeF2
_space_group_name_H-M_alt 'P 3 m 1'
_space_group_IT_number 156
_space_group_name_Hall 'P 3 -2"'
_cell_length_a 4.0334
_cell_length_b 4.0334
_cell_length_c 6.7210
_cell_angle_alpha 90.00
_cell_angle_beta 90.00
_cell_angle_gamma 120.00
loop_
_atom_site_label
_atom_site_type_symbol
_atom_site_fract_x
_atom_site_fract_y
_atom_site_fract_z
Tb1 Tb 0.0000 0.0000 0.0000
Sm1 Sm 0.6667 0.3333 0.4929
Ge1 Ge 0.3333 0.6667 0.2432
F1 F 0.0000 0.0000 0.6510
F2 F 0.6667 0.3333 0.8539